[1]
# Li2Be (GGA-PBE, relaxed)
# total moment: 0.000 μB/atom
data_Li2Be
_chemical_formula_sum 'Li6 Be3'
_symmetry_space_group_name_H-M 'P 1'
_symmetry_Int_Tables_number 1
_symmetry_space_group_name_Hall 'P 1'
_cell_length_a 7.642
_cell_length_b 7.642
_cell_length_c 2.303
_cell_angle_alpha 90.00
_cell_angle_beta 90.00
_cell_angle_gamma 120.00
loop_
_atom_site_label
_atom_site_fract_x
_atom_site_fract_y
_atom_site_fract_z
Li1 0.677 0.677 0.000
Li2 0.323 0.000 0.000
Li3 0.656 0.000 0.500
Li4 0.344 0.344 0.500
Li5 0.000 0.323 0.000
Li6 0.000 0.656 0.500
Be1 0.667 0.333 0.000
Be2 0.333 0.667 0.000
Be3 0.000 0.000 0.500


[2]
# Li5Be (GGA-PBE, relaxed)
# total moment: 0.000 μB/atom
data_Li5Be
_chemical_formula_sum 'Li5 Be1'
_symmetry_space_group_name_H-M 'P 1'
_symmetry_Int_Tables_number 1
_symmetry_space_group_name_Hall 'P 1'
_cell_length_a 5.522
_cell_length_b 5.522
_cell_length_c 6.294
_cell_angle_alpha 73.20
_cell_angle_beta 73.20
_cell_angle_gamma 32.96
loop_
_atom_site_label
_atom_site_fract_x
_atom_site_fract_y
_atom_site_fract_z
Li1 0.634 0.634 0.752
Li2 0.313 0.313 0.356
Li3 0.972 0.972 0.559
Li4 0.621 0.621 0.202
Li5 0.321 0.321 0.912
Be1 0.973 0.973 0.052


[3]
# Li3Be (GGA-PBE, relaxed)
# total moment: 0.000 μB/atom
data_Li3Be
_chemical_formula_sum 'Li3 Be1'
_symmetry_space_group_name_H-M 'P 1'
_symmetry_Int_Tables_number 1
_symmetry_space_group_name_Hall 'P 1'
_cell_length_a 2.639
_cell_length_b 2.639
_cell_length_c 9.484
_cell_angle_alpha 90.00
_cell_angle_beta 90.00
_cell_angle_gamma 120.00
loop_
_atom_site_label
_atom_site_fract_x
_atom_site_fract_y
_atom_site_fract_z
Li1 0.667 0.333 0.231
Li2 0.000 0.000 0.500
Li3 0.667 0.333 0.769
Be1 0.000 0.000 0.000


[4]
# LiBe5 (GGA-PBE, relaxed)
# total moment: 0.000 μB/atom
data_LiBe5
_chemical_formula_sum 'Li1 Be5'
_symmetry_space_group_name_H-M 'P 1'
_symmetry_Int_Tables_number 1
_symmetry_space_group_name_Hall 'P 1'
_cell_length_a 2.605
_cell_length_b 3.608
_cell_length_c 5.727
_cell_angle_alpha 108.36
_cell_angle_beta 90.00
_cell_angle_gamma 90.00
loop_
_atom_site_label
_atom_site_fract_x
_atom_site_fract_y
_atom_site_fract_z
Be1 0.500 0.826 0.653
Be2 0.000 0.335 0.670
Be3 0.500 0.500 0.000
Be4 0.000 0.665 0.330
Be5 0.500 0.174 0.347
Li1 0.000 0.000 0.000


Listing N(E_F) for the structures above in their given order: 1.27 2.08 1.00 1.41 states/eV/cell.
Listing relative energy among the computed polymorphs for the structures above in their given order: 0.1398 0.0086 0.0738 0.0827 eV/atom.
Listing E_tot for the structures above in their given order: -2.2771 -2.0624 -2.1285 -3.2977 eV per atom.